First-principles (PBE-GGA) data for TbBeHg after structural relaxation, as listed in Alexandria.

Cell: 4.436 7.542 7.239 Å, 90.00 90.00 90.00°
Positions (direct):
Be (0.250, 0.418, 0.698)
Be (0.750, 0.918, 0.802)
Be (0.250, 0.082, 0.198)
Be (0.750, 0.582, 0.302)
Hg (0.250, 0.086, 0.792)
Hg (0.250, 0.414, 0.292)
Hg (0.750, 0.586, 0.708)
Hg (0.750, 0.914, 0.208)
Tb (0.250, 0.785, 0.494)
Tb (0.750, 0.215, 0.506)
Tb (0.250, 0.715, 0.994)
Tb (0.750, 0.285, 0.006)

Energy of formation from the pure elements ... -20.1 kJ/mol of atoms
SG ... Pnma (62)
Volume ... 20.183 Å³ per atom

---

First-principles (PBE-GGA) data for Ho3ZnPt3 after structural relaxation, as listed in Alexandria.

Cell: 4.096 5.584 13.947 Å, 90.00 90.00 111.52°
Positions (direct):
Pt (0.907, 0.815, 0.908)
Pt (0.093, 0.185, 0.408)
Pt (0.264, 0.528, 0.250)
Pt (0.907, 0.815, 0.592)
Pt (0.093, 0.185, 0.092)
Pt (0.736, 0.472, 0.750)
Ho (0.806, 0.612, 0.394)
Ho (0.806, 0.612, 0.106)
Ho (0.535, 0.069, 0.250)
Ho (0.194, 0.388, 0.894)
Ho (0.194, 0.388, 0.606)
Ho (0.465, 0.931, 0.750)
Zn (0.500, 0.000, 0.500)
Zn (0.500, 0.000, 0.000)

Energy of formation from the pure elements ... -108.0 kJ/mol of atoms
SG ... Cmcm (63)
Volume ... 21.196 Å³ per atom

---

First-principles (PBE-GGA) data for Rb2InCl6 after structural relaxation, as listed in Alexandria.

Cell: 6.099 7.245 8.473 Å, 115.31 110.99 90.00°
Site moments in Bohr magnetons follow the coordinates.
Positions (direct):
In (0.000, 0.000, 0.000)  0.00
Cl (0.873, 0.634, 0.745)  0.00
Cl (0.500, 0.174, 0.000)  0.35
Cl (0.500, 0.826, 0.000)  0.35
Cl (0.127, 0.366, 0.255)  0.00
Cl (0.873, 0.111, 0.745)  0.00
Cl (0.127, 0.889, 0.255)  0.00
Rb (0.668, 0.670, 0.340)  0.00
Rb (0.332, 0.330, 0.660)  0.00

SG ... C2/m (12)
ΔE_f (raw) ... -1073 kJ/mol of formula units
Volume ... 34.528 Å³ per atom

---

First-principles (PBE-GGA) data for Rb2YI2 after structural relaxation, as listed in Alexandria.

Cell: 9.275 9.275 4.979 Å, 90.00 90.00 90.00°
Site moments in Bohr magnetons follow the coordinates.
Positions (direct):
I (0.835, 0.665, 0.000)  0.00
I (0.335, 0.835, 0.000)  0.00
I (0.665, 0.165, 0.000)  0.00
I (0.165, 0.335, 0.000)  0.00
Y (0.500, 0.500, 0.000)  0.49
Y (0.000, 0.000, 0.000)  0.49
Rb (0.145, 0.645, 0.500)  0.01
Rb (0.645, 0.855, 0.500)  0.01
Rb (0.855, 0.355, 0.500)  0.01
Rb (0.355, 0.145, 0.500)  0.01

SG ... P4/mbm (127)
ΔE_f (raw) ... -291 kJ/mol of formula units
Volume ... 42.828 Å³ per atom

---

First-principles (PBE-GGA) data for BaSnAsRh2 after structural relaxation, as listed in Alexandria.

Cell: 4.712 5.989 4.712 Å, 90.00 90.00 90.00°
Positions (direct):
Rh (0.000, 0.000, 0.500)
Rh (0.500, 0.000, 0.000)
Sn (0.500, 0.500, 0.500)
Ba (0.000, 0.500, 0.000)
As (0.000, 0.000, 0.000)

Energy of formation from the pure elements ... 17.0 kJ/mol of atoms
SG ... P4/mmm (123)
Volume ... 26.602 Å³ per atom

---

First-principles (PBE-GGA) data for ErPaAl after structural relaxation, as listed in Alexandria.

Cell: 2.999 5.157 5.157 Å, 120.00 90.00 90.00°
Site moments in Bohr magnetons follow the coordinates.
Positions (direct):
Pa (0.164, 0.000, 0.000)  0.38
Al (0.666, 0.333, 0.667)  0.00
Er (0.170, 0.667, 0.333)  0.04

Energy of formation from the pure elements ... 18.2 kJ/mol of atoms
SG ... P3m1 (156)
Volume ... 23.018 Å³ per atom

---

First-principles (PBE-GGA) data for Dy5InHg3 after structural relaxation, as listed in Alexandria.

Cell: 6.674 9.135 9.135 Å, 120.00 90.00 90.00°
Positions (direct):
Hg (0.750, 0.371, 0.371)
Hg (0.750, 0.000, 0.629)
Hg (0.250, 0.371, 0.000)
Hg (0.250, 0.629, 0.629)
Hg (0.750, 0.629, 0.000)
Hg (0.250, 0.000, 0.371)
In (0.500, 0.000, 0.000)
In (0.000, 0.000, 0.000)
Dy (0.750, 0.298, 0.000)
Dy (0.250, 0.000, 0.702)
Dy (0.500, 0.333, 0.667)
Dy (0.750, 0.000, 0.298)
Dy (0.750, 0.702, 0.702)
Dy (0.000, 0.667, 0.333)
Dy (0.000, 0.333, 0.667)
Dy (0.250, 0.702, 0.000)
Dy (0.250, 0.298, 0.298)
Dy (0.500, 0.667, 0.333)

Energy of formation from the pure elements ... -38.4 kJ/mol of atoms
SG ... P6_3/mcm (193)
Volume ... 26.795 Å³ per atom

---

First-principles (PBE-GGA) data for Re2HgCl after structural relaxation, as listed in Alexandria.

Cell: 4.191 4.191 9.386 Å, 77.10 77.10 90.00°
Positions (direct):
Hg (0.000, 0.000, 0.000)
Hg (0.750, 0.250, 0.500)
Re (0.532, 0.125, 0.250)
Re (0.875, 0.782, 0.750)
Re (0.218, 0.625, 0.250)
Re (0.375, 0.468, 0.750)
Cl (0.250, 0.750, 0.500)
Cl (0.500, 0.500, 0.000)

SG ... I-42d (122)
ΔE_f (raw) ... 479 kJ/mol of formula units
Volume ... 19.555 Å³ per atom

---

First-principles (PBE-GGA) data for Sm3InRh2 after structural relaxation, as listed in Alexandria.

Cell: 6.675 7.230 8.252 Å, 115.98 113.86 90.00°
Positions (direct):
Sm (0.784, 0.534, 0.568)
Sm (0.500, 0.250, 0.000)
Sm (0.216, 0.466, 0.432)
Sm (0.500, 0.750, 0.000)
Sm (0.784, 0.034, 0.568)
Sm (0.216, 0.966, 0.432)
Rh (0.161, 0.862, 0.724)
Rh (0.839, 0.138, 0.276)
Rh (0.563, 0.362, 0.724)
Rh (0.437, 0.638, 0.276)
In (0.000, 0.500, 0.000)
In (0.000, 0.000, 0.000)

Energy of formation from the pure elements ... -54.9 kJ/mol of atoms
SG ... Ibam (72)
Volume ... 26.641 Å³ per atom

---

First-principles (PBE-GGA) data for Nb2CrGaAg after structural relaxation, as listed in Alexandria.

Cell: 4.765 4.501 4.765 Å, 90.00 90.00 90.00°
Positions (direct):
Nb (0.500, 0.000, 0.000)
Nb (0.000, 0.000, 0.500)
Cr (0.500, 0.500, 0.500)
Ag (0.000, 0.500, 0.000)
Ga (0.000, 0.000, 0.000)

Energy of formation from the pure elements ... 141.0 kJ/mol of atoms
SG ... P4/mmm (123)
Volume ... 20.441 Å³ per atom

---

First-principles (PBE-GGA) data for Nd5Tl2Zn2 after structural relaxation, as listed in Alexandria.

Cell: 7.762 7.986 9.466 Å, 114.95 90.00 90.00°
Positions (direct):
Nd (0.178, 0.178, 0.735)
Nd (0.000, 0.000, 0.000)
Nd (0.500, 0.500, 0.000)
Nd (0.678, 0.322, 0.265)
Nd (0.178, 0.443, 0.265)
Nd (0.322, 0.678, 0.735)
Nd (0.822, 0.557, 0.735)
Nd (0.822, 0.822, 0.265)
Nd (0.322, 0.943, 0.265)
Nd (0.678, 0.057, 0.735)
Zn (0.116, 0.615, 0.000)
Zn (0.384, 0.115, 0.000)
Zn (0.616, 0.885, 0.000)
Zn (0.884, 0.385, 0.000)
Tl (0.000, 0.777, 0.554)
Tl (0.000, 0.223, 0.446)
Tl (0.500, 0.723, 0.446)
Tl (0.500, 0.277, 0.554)

Energy of formation from the pure elements ... -23.4 kJ/mol of atoms
SG ... Cmce (64)
Volume ... 29.554 Å³ per atom

---

First-principles (PBE-GGA) data for Ni2AgMo after structural relaxation, as listed in Alexandria.

Cell: 8.988 8.988 8.988 Å, 17.27 17.27 17.27°
Positions (direct):
Mo (0.742, 0.742, 0.742)
Ni (0.256, 0.256, 0.256)
Ni (0.997, 0.997, 0.997)
Ag (0.505, 0.505, 0.505)

Energy of formation from the pure elements ... 25.7 kJ/mol of atoms
SG ... R3m (160)
Volume ... 13.965 Å³ per atom

---

First-principles (PBE-GGA) data for Hf2CoPdC after structural relaxation, as listed in Alexandria.

Cell: 4.523 4.523 3.677 Å, 90.00 90.00 90.00°
Site moments in Bohr magnetons follow the coordinates.
Positions (direct):
Hf (0.000, 0.500, 0.000)  0.03
Hf (0.500, 0.000, 0.000)  0.03
Co (0.000, 0.000, 0.500)  0.50
C (0.000, 0.000, 0.000)  0.01
Pd (0.500, 0.500, 0.500)  0.00

Energy of formation from the pure elements ... -52.3 kJ/mol of atoms
SG ... P4/mmm (123)
Volume ... 15.047 Å³ per atom

---

First-principles (PBE-GGA) data for YEr2Sb2 after structural relaxation, as listed in Alexandria.

Cell: 8.095 7.515 9.936 Å, 90.00 112.64 90.00°
Positions (direct):
Er (0.249, 0.875, 0.248)
Er (0.456, 0.814, 0.895)
Er (0.751, 0.125, 0.752)
Er (0.044, 0.314, 0.105)
Er (0.749, 0.625, 0.248)
Er (0.544, 0.186, 0.105)
Er (0.956, 0.686, 0.895)
Er (0.251, 0.375, 0.752)
Y (0.543, 0.687, 0.607)
Y (0.957, 0.187, 0.393)
Y (0.043, 0.813, 0.607)
Y (0.457, 0.313, 0.393)
Sb (0.839, 0.953, 0.088)
Sb (0.342, 0.049, 0.592)
Sb (0.161, 0.047, 0.912)
Sb (0.661, 0.453, 0.912)
Sb (0.158, 0.549, 0.408)
Sb (0.842, 0.451, 0.592)
Sb (0.339, 0.547, 0.088)
Sb (0.658, 0.951, 0.408)

SG ... P2_1/c (14)
ΔE_f (raw) ... -407 kJ/mol of formula units
Volume ... 27.893 Å³ per atom

---

First-principles (PBE-GGA) data for Y2BeHgB after structural relaxation, as listed in Alexandria.

Cell: 5.187 5.187 3.728 Å, 90.00 90.00 90.00°
Positions (direct):
B (0.000, 0.000, 0.000)
Hg (0.500, 0.500, 0.500)
Y (0.000, 0.500, 0.000)
Y (0.500, 0.000, 0.000)
Be (0.000, 0.000, 0.500)

Energy of formation from the pure elements ... -20.5 kJ/mol of atoms
SG ... P4/mmm (123)
Volume ... 20.064 Å³ per atom

---

First-principles (PBE-GGA) data for RuRh after structural relaxation, as listed in Alexandria.

Cell: 2.682 5.236 4.191 Å, 90.00 90.00 75.16°
Positions (direct):
Ru (0.826, 0.348, 0.250)
Ru (0.174, 0.652, 0.750)
Rh (0.428, 0.144, 0.750)
Rh (0.572, 0.856, 0.250)

Energy of formation from the pure elements ... 15.7 kJ/mol of atoms
SG ... Cmcm (63)
Volume ... 14.220 Å³ per atom

---

First-principles (PBE-GGA) data for Er3Ag2Pd after structural relaxation, as listed in Alexandria.

Cell: 3.551 3.551 10.775 Å, 90.00 90.00 90.00°
Positions (direct):
Pd (0.500, 0.500, 0.500)
Er (0.000, 0.000, 0.657)
Er (0.000, 0.000, 0.000)
Er (0.000, 0.000, 0.343)
Ag (0.500, 0.500, 0.169)
Ag (0.500, 0.500, 0.831)

Energy of formation from the pure elements ... -51.3 kJ/mol of atoms
SG ... P4/mmm (123)
Volume ... 22.647 Å³ per atom

---

First-principles (PBE-GGA) data for YTc2Bi2 after structural relaxation, as listed in Alexandria.

Cell: 7.776 7.776 3.638 Å, 90.00 90.00 90.00°
Positions (direct):
Y (0.000, 0.000, 0.000)
Y (0.500, 0.500, 0.000)
Tc (0.618, 0.118, 0.000)
Tc (0.882, 0.618, 0.000)
Tc (0.382, 0.882, 0.000)
Tc (0.118, 0.382, 0.000)
Bi (0.672, 0.828, 0.500)
Bi (0.172, 0.672, 0.500)
Bi (0.828, 0.328, 0.500)
Bi (0.328, 0.172, 0.500)

Energy of formation from the pure elements ... 28.7 kJ/mol of atoms
SG ... P4/mbm (127)
Volume ... 21.998 Å³ per atom

---

First-principles (PBE-GGA) data for Tm3ScHg2 after structural relaxation, as listed in Alexandria.

Cell: 5.050 6.718 9.045 Å, 90.00 90.00 90.00°
Positions (direct):
Tm (0.000, 0.986, 0.049)
Tm (0.500, 0.677, 0.179)
Tm (0.000, 0.322, 0.331)
Tm (0.500, 0.177, 0.821)
Tm (0.000, 0.822, 0.669)
Tm (0.000, 0.486, 0.951)
Hg (0.000, 0.271, 0.652)
Hg (0.500, 0.229, 0.154)
Hg (0.000, 0.771, 0.348)
Hg (0.500, 0.729, 0.846)
Sc (0.500, 0.516, 0.549)
Sc (0.500, 0.016, 0.451)

Energy of formation from the pure elements ... -33.9 kJ/mol of atoms
SG ... Pmc2_1 (26)
Volume ... 25.572 Å³ per atom

---

First-principles (PBE-GGA) data for Hf5Pt after structural relaxation, as listed in Alexandria.

Cell: 4.378 4.311 6.936 Å, 108.10 90.00 90.00°
Positions (direct):
Hf (0.500, 0.168, 0.335)
Hf (0.000, 0.336, 0.673)
Hf (0.000, 0.664, 0.327)
Hf (0.500, 0.500, 0.000)
Hf (0.500, 0.832, 0.665)
Pt (0.000, 0.000, 0.000)

Energy of formation from the pure elements ... -24.3 kJ/mol of atoms
SG ... Cmmm (65)
Volume ... 20.736 Å³ per atom